Entry 1:
A geometry-optimized LaDyPdRu structure. Source: Alexandria via LeMat-Bulk, functional PBE.

Cell: 7.0718 7.0718 7.0718 Å, 90.00 90.00 90.00°
Last column: nearest neighbours and their distance in Å.
Sites, in units of the cell vectors:
La (0.0000, 0.0000, 0.0000)  4 Ru 3.06, 4 Pd 3.06
La (0.0000, 0.5000, 0.5000)  4 Ru 3.06, 4 Pd 3.06
La (0.5000, 0.0000, 0.5000)  4 Ru 3.06, 4 Pd 3.06
La (0.5000, 0.5000, 0.0000)  4 Ru 3.06, 4 Pd 3.06
Dy (0.0000, 0.0000, 0.5000)  4 Ru 3.06, 4 Pd 3.06
Dy (0.0000, 0.5000, 0.0000)  4 Ru 3.06, 4 Pd 3.06
Dy (0.5000, 0.0000, 0.0000)  4 Ru 3.06, 4 Pd 3.06
Dy (0.5000, 0.5000, 0.5000)  4 Ru 3.06, 4 Pd 3.06
Pd (0.2500, 0.2500, 0.7500)  4 La 3.06, 4 Dy 3.06
Pd (0.2500, 0.7500, 0.2500)  4 La 3.06, 4 Dy 3.06
Pd (0.7500, 0.2500, 0.2500)  4 La 3.06, 4 Dy 3.06
Pd (0.7500, 0.7500, 0.7500)  4 La 3.06, 4 Dy 3.06
Ru (0.2500, 0.2500, 0.2500)  4 La 3.06, 4 Dy 3.06
Ru (0.2500, 0.7500, 0.7500)  4 La 3.06, 4 Dy 3.06
Ru (0.7500, 0.2500, 0.7500)  4 La 3.06, 4 Dy 3.06
Ru (0.7500, 0.7500, 0.2500)  4 La 3.06, 4 Dy 3.06

Values from the calculation:
**ΔH_f (0 K)**: -49.7 kJ/mol of atoms
**M_tot**: 0.000 μB/atom
**Energy**: -6.514 eV per atom

Entry 2:
A geometry-optimized K5Pu3Cl12 structure. Source: Alexandria via LeMat-Bulk, functional PBE.

Cell: 15.0556 15.0556 15.0556 Å, 109.47 109.47 109.47°
Last column: nearest neighbours and their distance in Å.
Sites, in units of the cell vectors:
K (0.0000, 0.0000, 0.0000)  6 Cl 3.05
K (0.0000, 0.0000, 0.5000)  6 Cl 3.05
K (0.0000, 0.5000, 0.0000)  6 Cl 3.05
K (0.0000, 0.5000, 0.5000)  6 Cl 3.05
K (0.1250, 0.7500, 0.8750)  4 Cl 2.91
K (0.1250, 0.8750, 0.2500)  4 Cl 2.91
K (0.2500, 0.1250, 0.8750)  4 Cl 2.91
K (0.2500, 0.6250, 0.3750)  4 Cl 2.91
K (0.3750, 0.2500, 0.6250)  4 Cl 2.91
K (0.3750, 0.6250, 0.7500)  4 Cl 2.91
K (0.5000, 0.0000, 0.0000)  6 Cl 3.05
K (0.5000, 0.0000, 0.5000)  6 Cl 3.05
K (0.5000, 0.5000, 0.0000)  6 Cl 3.05
K (0.5000, 0.5000, 0.5000)  6 Cl 3.05
K (0.6250, 0.3750, 0.2500)  4 Cl 2.91
K (0.6250, 0.7500, 0.3750)  4 Cl 2.91
K (0.7500, 0.3750, 0.6250)  4 Cl 2.91
K (0.7500, 0.8750, 0.1250)  4 Cl 2.91
K (0.8750, 0.1250, 0.7500)  4 Cl 2.91
K (0.8750, 0.2500, 0.1250)  4 Cl 2.91
Pu (0.1250, 0.2500, 0.3750)  4 Cl 2.91
Pu (0.1250, 0.3750, 0.7500)  4 Cl 2.91
Pu (0.2500, 0.3750, 0.1250)  4 Cl 2.91
Pu (0.2500, 0.8750, 0.6250)  4 Cl 2.91
Pu (0.3750, 0.1250, 0.2500)  4 Cl 2.91
Pu (0.3750, 0.7500, 0.1250)  4 Cl 2.91
Pu (0.6250, 0.2500, 0.8750)  4 Cl 2.91
Pu (0.6250, 0.8750, 0.7500)  4 Cl 2.91
Pu (0.7500, 0.1250, 0.3750)  4 Cl 2.91
Pu (0.7500, 0.6250, 0.8750)  4 Cl 2.91
Pu (0.8750, 0.6250, 0.2500)  4 Cl 2.91
Pu (0.8750, 0.7500, 0.6250)  4 Cl 2.91
Cl (0.0658, 0.2373, 0.1317)  2 K 2.91-3.05, 1 Pu 2.91, 1 Cl 3.21
Cl (0.0658, 0.3285, 0.9341)  2 K 2.91-3.05, 1 Pu 2.91, 1 Cl 3.21
Cl (0.0659, 0.6317, 0.3943)  2 K 2.91-3.05, 1 Pu 2.91, 1 Cl 3.21
Cl (0.0659, 0.9342, 0.6715)  2 K 2.91-3.05, 1 Pu 2.91, 1 Cl 3.21
Cl (0.1057, 0.7373, 0.6715)  2 K 2.91-3.05, 1 Pu 2.91, 1 Cl 3.21
Cl (0.1057, 0.8683, 0.4341)  2 K 2.91-3.05, 1 Pu 2.91, 1 Cl 3.21
Cl (0.1317, 0.0658, 0.2373)  2 K 2.91-3.05, 1 Pu 2.91, 1 Cl 3.21
Cl (0.1317, 0.5659, 0.8943)  2 K 2.91-3.05, 1 Pu 2.91, 1 Cl 3.21
Cl (0.1715, 0.2373, 0.6057)  2 K 2.91-3.05, 1 Pu 2.91, 1 Cl 3.21
Cl (0.1715, 0.4342, 0.5659)  2 K 2.91-3.05, 1 Pu 2.91, 1 Cl 3.21
Cl (0.2373, 0.1317, 0.0658)  2 K 2.91-3.05, 1 Pu 2.91, 1 Cl 3.21
Cl (0.2373, 0.6057, 0.1715)  2 K 2.91-3.05, 1 Pu 2.91, 1 Cl 3.21
Cl (0.2627, 0.3285, 0.8943)  2 K 2.91-3.05, 1 Pu 2.91, 1 Cl 3.21
Cl (0.2627, 0.4342, 0.3683)  2 K 2.91-3.05, 1 Pu 2.91, 1 Cl 3.21
Cl (0.3285, 0.8943, 0.2627)  2 K 2.91-3.05, 1 Pu 2.91, 1 Cl 3.21
Cl (0.3285, 0.9341, 0.0658)  2 K 2.91-3.05, 1 Pu 2.91, 1 Cl 3.21
Cl (0.3683, 0.2627, 0.4342)  2 K 2.91-3.05, 1 Pu 2.91, 1 Cl 3.21
Cl (0.3683, 0.6057, 0.9341)  2 K 2.91-3.05, 1 Pu 2.91, 1 Cl 3.21
Cl (0.3943, 0.0659, 0.6317)  2 K 2.91-3.05, 1 Pu 2.91, 1 Cl 3.21
Cl (0.3943, 0.8285, 0.7627)  2 K 2.91-3.05, 1 Pu 2.91, 1 Cl 3.21
Cl (0.4341, 0.1057, 0.8683)  2 K 2.91-3.05, 1 Pu 2.91, 1 Cl 3.21
Cl (0.4342, 0.3683, 0.2627)  2 K 2.91-3.05, 1 Pu 2.91, 1 Cl 3.21
Cl (0.4342, 0.5659, 0.1715)  2 K 2.91-3.05, 1 Pu 2.91, 1 Cl 3.21
Cl (0.4341, 0.8285, 0.5658)  2 K 2.91-3.05, 1 Pu 2.91, 1 Cl 3.21
Cl (0.5659, 0.1715, 0.4342)  2 K 2.91-3.05, 1 Pu 2.91, 1 Cl 3.21
Cl (0.5658, 0.4341, 0.8285)  2 K 2.91-3.05, 1 Pu 2.91, 1 Cl 3.21
Cl (0.5658, 0.6317, 0.7373)  2 K 2.91-3.05, 1 Pu 2.91, 1 Cl 3.21
Cl (0.5659, 0.8943, 0.1317)  2 K 2.91-3.05, 1 Pu 2.91, 1 Cl 3.21
Cl (0.6057, 0.1715, 0.2373)  2 K 2.91-3.05, 1 Pu 2.91, 1 Cl 3.21
Cl (0.6057, 0.9341, 0.3683)  2 K 2.91-3.05, 1 Pu 2.91, 1 Cl 3.21
Cl (0.6317, 0.3943, 0.0659)  2 K 2.91-3.05, 1 Pu 2.91, 1 Cl 3.21
Cl (0.6317, 0.7373, 0.5658)  2 K 2.91-3.05, 1 Pu 2.91, 1 Cl 3.21
Cl (0.6715, 0.0659, 0.9342)  2 K 2.91-3.05, 1 Pu 2.91, 1 Cl 3.21
Cl (0.6715, 0.1057, 0.7373)  2 K 2.91-3.05, 1 Pu 2.91, 1 Cl 3.21
Cl (0.7373, 0.5658, 0.6317)  2 K 2.91-3.05, 1 Pu 2.91, 1 Cl 3.21
Cl (0.7373, 0.6715, 0.1057)  2 K 2.91-3.05, 1 Pu 2.91, 1 Cl 3.21
Cl (0.7627, 0.3943, 0.8285)  2 K 2.91-3.05, 1 Pu 2.91, 1 Cl 3.21
Cl (0.7627, 0.8683, 0.9342)  2 K 2.91-3.05, 1 Pu 2.91, 1 Cl 3.21
Cl (0.8285, 0.5658, 0.4341)  2 K 2.91-3.05, 1 Pu 2.91, 1 Cl 3.21
Cl (0.8285, 0.7627, 0.3943)  2 K 2.91-3.05, 1 Pu 2.91, 1 Cl 3.21
Cl (0.8683, 0.4341, 0.1057)  2 K 2.91-3.05, 1 Pu 2.91, 1 Cl 3.21
Cl (0.8683, 0.9342, 0.7627)  2 K 2.91-3.05, 1 Pu 2.91, 1 Cl 3.21
Cl (0.8943, 0.1317, 0.5659)  2 K 2.91-3.05, 1 Pu 2.91, 1 Cl 3.21
Cl (0.8943, 0.2627, 0.3285)  2 K 2.91-3.05, 1 Pu 2.91, 1 Cl 3.21
Cl (0.9341, 0.0658, 0.3285)  2 K 2.91-3.05, 1 Pu 2.91, 1 Cl 3.21
Cl (0.9341, 0.3683, 0.6057)  2 K 2.91-3.05, 1 Pu 2.91, 1 Cl 3.21
Cl (0.9342, 0.6715, 0.0659)  2 K 2.91-3.05, 1 Pu 2.91, 1 Cl 3.21
Cl (0.9342, 0.7627, 0.8683)  2 K 2.91-3.05, 1 Pu 2.91, 1 Cl 3.21

Values from the calculation:
**M_tot**: 0.850 μB/atom
**Energy**: -5.289 eV per atom

Entry 3:
A geometry-optimized YZr2InH structure. Source: Alexandria via LeMat-Bulk, functional PBE.

Cell: 4.5518 4.5518 4.6901 Å, 90.00 90.00 90.00°
Last column: nearest neighbours and their distance in Å.
Sites, in units of the cell vectors:
Y (0.0000, 0.0000, 0.0000)  2 H 2.35
Zr (0.0000, 0.5000, 0.5000)  2 H 2.28
Zr (0.5000, 0.0000, 0.5000)  2 H 2.28
In (0.5000, 0.5000, 0.0000)  4 Y 3.22, 8 Zr 3.27
H (0.0000, 0.0000, 0.5000)  4 Zr 2.28, 2 Y 2.35

Values from the calculation:
**M_tot**: 0.000 μB/atom
**Energy**: -6.263 eV per atom

Entry 4:
A geometry-optimized Re2Ge2Br structure. Source: Alexandria via LeMat-Bulk, functional PBE.

Cell: 3.6115 3.6115 16.0958 Å, 90.00 90.00 90.00°
Last column: nearest neighbours and their distance in Å.
Sites, in units of the cell vectors:
Re (0.0000, 0.5000, 0.2500)  4 Re 2.55, 4 Ge 2.72
Re (0.0000, 0.5000, 0.7500)  4 Re 2.55, 4 Ge 2.72
Re (0.5000, 0.0000, 0.2500)  4 Re 2.55, 4 Ge 2.72
Re (0.5000, 0.0000, 0.7500)  4 Re 2.55, 4 Ge 2.72
Ge (0.0000, 0.0000, 0.1234)  4 Re 2.72
Ge (0.0000, 0.0000, 0.8766)  4 Re 2.72
Ge (0.5000, 0.5000, 0.3766)  4 Re 2.72
Ge (0.5000, 0.5000, 0.6234)  4 Re 2.72
Br (0.0000, 0.0000, 0.5000)  8 Ge 3.23, 4 Br 3.61
Br (0.5000, 0.5000, 0.0000)  8 Ge 3.23, 4 Br 3.61

Values from the calculation:
**Excess energy over the best structure of this formula in the dataset**: 0.0 meV/atom
**M_tot**: 0.000 μB/atom
**Energy**: -6.618 eV per atom

Entry 5:
A geometry-optimized PaBe17Os structure. Source: Alexandria via LeMat-Bulk, functional PBE.

Cell: 5.6752 5.6752 5.6752 Å, 83.29 83.29 83.29°
Last column: nearest neighbours and their distance in Å.
Sites, in units of the cell vectors:
Pa (0.0000, 0.0000, 0.0000)  19 Be 2.73-2.86
Be (0.0444, 0.3522, 0.6295)  8 Be 2.09-2.32
Be (0.0444, 0.6295, 0.3522)  8 Be 2.09-2.32
Be (0.2093, 0.6818, 0.6818)  9 Be 2.16-2.27
Be (0.2499, 0.2499, 0.2499)  4 Be 2.11-2.29
Be (0.3358, 0.3358, 0.8470)  10 Be 2.13-2.33
Be (0.3358, 0.8470, 0.3358)  10 Be 2.13-2.33
Be (0.3522, 0.0444, 0.6295)  8 Be 2.09-2.32
Be (0.3522, 0.6295, 0.0444)  8 Be 2.09-2.32
Be (0.4430, 0.4430, 0.4430)  7 Be 2.11-2.33
Be (0.5065, 0.9912, 0.9912)  9 Be 2.19-2.44
Be (0.6295, 0.0444, 0.3522)  8 Be 2.09-2.32
Be (0.6295, 0.3522, 0.0444)  8 Be 2.09-2.32
Be (0.6818, 0.2093, 0.6818)  9 Be 2.16-2.27
Be (0.6818, 0.6818, 0.2092)  9 Be 2.16-2.27
Be (0.8470, 0.3358, 0.3358)  10 Be 2.13-2.33
Be (0.9912, 0.5065, 0.9912)  9 Be 2.19-2.44
Be (0.9912, 0.9912, 0.5065)  9 Be 2.19-2.44
Os (0.6648, 0.6648, 0.6648)  10 Be 2.42-2.63

Values from the calculation:
**ΔH_f (0 K)**: -1.8 kJ/mol of atoms
**M_tot**: 0.000 μB/atom
**Energy**: -4.444 eV per atom

Entry 6:
A geometry-optimized Nb3ZnRh structure. Source: Alexandria via LeMat-Bulk, functional PBE.

Cell: 4.8175 4.8175 4.8175 Å, 90.00 90.00 90.00°
Last column: nearest neighbours and their distance in Å.
Sites, in units of the cell vectors:
Nb (0.0000, 0.0000, 0.5000)  2 Rh 2.41
Nb (0.0000, 0.5000, 0.0000)  2 Rh 2.41
Nb (0.5000, 0.0000, 0.0000)  2 Rh 2.41
Zn (0.5000, 0.5000, 0.5000)  12 Nb 3.41
Rh (0.0000, 0.0000, 0.0000)  6 Nb 2.41

Values from the calculation:
**ΔH_f (0 K)**: 98.9 kJ/mol of atoms
**Excess energy over the best structure of this formula in the dataset**: 0.0 meV/atom
**M_tot**: 0.000 μB/atom
**Energy**: -6.742 eV per atom

Entry 7:
A geometry-optimized Cd3SF structure. Source: Alexandria via LeMat-Bulk, functional PBE.

Cell: 4.8002 4.8002 4.8002 Å, 90.00 90.00 90.00°
Last column: nearest neighbours and their distance in Å.
Sites, in units of the cell vectors:
Cd (0.0000, 0.0000, 0.5000)  2 F 2.40
Cd (0.0000, 0.5000, 0.0000)  2 F 2.40
Cd (0.5000, 0.0000, 0.0000)  2 F 2.40
S (0.5000, 0.5000, 0.5000)  12 Cd 3.39
F (0.0000, 0.0000, 0.0000)  6 Cd 2.40

Values from the calculation:
**Excess energy over the best structure of this formula in the dataset**: 0.0 meV/atom
**M_tot**: 0.000 μB/atom
**Energy**: -1.989 eV per atom

Entry 8:
A geometry-optimized CdTe2 structure. Source: Alexandria via LeMat-Bulk, functional PBE.

Cell: 3.9730 3.9730 22.7361 Å, 90.00 90.00 90.00°
Last column: nearest neighbours and their distance in Å.
Sites, in units of the cell vectors:
Cd (0.0000, 0.2500, 0.3750)  8 Te 3.22
Cd (0.0000, 0.7500, 0.6250)  8 Te 3.22
Cd (0.5000, 0.2500, 0.1250)  8 Te 3.22
Cd (0.5000, 0.7500, 0.8750)  8 Te 3.22
Te (0.0000, 0.2500, 0.8058)  3 Te 3.15-3.22, 4 Cd 3.22
Te (0.0000, 0.2500, 0.9442)  3 Te 3.15-3.22, 4 Cd 3.22
Te (0.0000, 0.7500, 0.0558)  3 Te 3.15-3.22, 4 Cd 3.22
Te (0.0000, 0.7500, 0.1942)  3 Te 3.15-3.22, 4 Cd 3.22
Te (0.5000, 0.2500, 0.5558)  3 Te 3.15-3.22, 4 Cd 3.22
Te (0.5000, 0.2500, 0.6942)  3 Te 3.15-3.22, 4 Cd 3.22
Te (0.5000, 0.7500, 0.3058)  3 Te 3.15-3.22, 4 Cd 3.22
Te (0.5000, 0.7500, 0.4442)  3 Te 3.15-3.22, 4 Cd 3.22

Values from the calculation:
**M_tot**: 0.000 μB/atom
**Energy**: -2.359 eV per atom